(1)
DFT (SCAN) results for CrTcP2O at its PBEsol-relaxed geometry.

abc: 3.6087 4.7077 4.7077
angles: 90.00 90.00 90.00
Last column: nearest neighbours and their distance in Å.
Sites, in units of the cell vectors:
Cr1 0.5000 0.5000 0.5000  8 P 2.97
O1 0.5000 0.0000 0.0000  2 Tc 1.80
P1 0.0000 0.5000 0.0000  2 Tc 2.35
P2 0.0000 0.0000 0.5000  2 Tc 2.35
Tc1 0.0000 0.0000 0.0000  2 O 1.80

N(E_F): 2.025 states/eV/cell
Final energy: -16.189 eV/atom

---

(2)
DFT (SCAN) results for LiLa2Tl at its PBEsol-relaxed geometry.

abc: 3.6094 4.6220 6.9388
angles: 90.00 90.00 90.00
Last column: nearest neighbours and their distance in Å.
Sites, in units of the cell vectors:
Tl1 0.5000 0.5000 0.5000  8 La 3.34, 2 Li 3.47, 2 Tl 3.61
La1 0.0000 0.0000 0.2689  1 La 3.21, 4 Tl 3.34, 4 Li 3.48
La2 0.0000 0.0000 0.7311  1 La 3.21, 4 Tl 3.34, 4 Li 3.48
Li1 0.5000 0.5000 0.0000  2 Tl 3.47, 8 La 3.48, 2 Li 3.61

N(E_F): 3.295 states/eV/cell
Final energy: -40.547 eV/atom
Calculated formation energy: -0.308 eV/atom

---

(3)
DFT (SCAN) results for B2Pb2S5 at its PBEsol-relaxed geometry.

abc: 9.5716 9.5716 15.4306
angles: 90.00 90.00 90.00
Last column: nearest neighbours and their distance in Å.
Sites, in units of the cell vectors:
S1 0.2514 0.9263 0.6404  1 B 1.90
S2 0.9333 0.9324 0.6411  2 B 1.92-1.93
B1 0.5697 0.5943 0.8156  4 S 1.90-1.93
S3 0.5992 0.4008 0.2500  2 B 1.91
Pb1 0.9417 0.7711 0.1809  4 S 2.77-3.08
S4 0.7614 0.7614 0.5000  2 B 1.90
Pb2 0.5521 0.8553 0.0858  4 S 2.80-3.00
S5 0.2624 0.4042 0.2473  2 B 1.92-1.94
S6 0.4263 0.2486 0.3904  1 B 1.90
Pb3 0.4417 0.7289 0.5691  4 S 2.77-3.08
S7 0.8869 0.4246 0.6022  1 B 1.92
S8 0.7386 0.2614 0.7500  2 B 1.90
Pb4 0.7289 0.4417 0.4309  4 S 2.77-3.08
Pb5 0.2289 0.0583 0.3191  4 S 2.77-3.08
Pb6 0.2711 0.5583 0.9309  4 S 2.77-3.08
Pb7 0.0583 0.2289 0.6809  4 S 2.77-3.08
S9 0.4246 0.8869 0.3978  1 B 1.92
S10 0.2386 0.2386 0.0000  2 B 1.90
S11 0.0737 0.7486 0.8596  1 B 1.90
Pb8 0.3553 0.9479 0.8358  4 S 2.80-3.00
B2 0.7309 0.4247 0.6800  4 S 1.90-1.94
S12 0.4324 0.5667 0.3911  2 B 1.92-1.93
S13 0.1131 0.5754 0.1022  1 B 1.92
S14 0.6131 0.9246 0.6478  1 B 1.92
Pb9 0.0521 0.6447 0.6642  4 S 2.80-3.00
S15 0.7376 0.5958 0.7473  2 B 1.92-1.94
S16 0.5754 0.1131 0.8978  1 B 1.92
S17 0.2486 0.4263 0.6096  1 B 1.90
B3 0.4303 0.4057 0.3156  4 S 1.90-1.93
S18 0.2614 0.7386 0.2500  2 B 1.90
B4 0.9057 0.0697 0.0656  4 S 1.90-1.93
B5 0.0753 0.2309 0.9300  4 S 1.90-1.94
S19 0.0667 0.0676 0.1411  2 B 1.92-1.93
B6 0.2691 0.5753 0.1800  4 S 1.90-1.94
S20 0.0754 0.3869 0.8522  1 B 1.92
S21 0.3869 0.0754 0.1478  1 B 1.92
Pb10 0.4479 0.1447 0.5858  4 S 2.80-3.00
Pb11 0.5583 0.2711 0.0691  4 S 2.77-3.08
S22 0.9246 0.6131 0.3522  1 B 1.92
Pb12 0.7711 0.9417 0.8191  4 S 2.77-3.08
B7 0.9247 0.7691 0.4300  4 S 1.90-1.94
Pb13 0.6447 0.0521 0.3358  4 S 2.80-3.00
B8 0.5943 0.5697 0.1844  4 S 1.90-1.93
S23 0.4333 0.5676 0.1089  2 B 1.92-1.93
S24 0.4042 0.2624 0.7527  2 B 1.92-1.94
B9 0.0697 0.9057 0.9344  4 S 1.90-1.93
B10 0.5753 0.2691 0.8200  4 S 1.90-1.94
B11 0.9303 0.0943 0.4344  4 S 1.90-1.93
Pb14 0.8553 0.5521 0.9142  4 S 2.80-3.00
S25 0.0676 0.0667 0.8589  2 B 1.92-1.93
B12 0.4247 0.7309 0.3200  4 S 1.90-1.94
S26 0.5958 0.7376 0.2527  2 B 1.92-1.94
S27 0.9008 0.9008 0.0000  2 B 1.91
B13 0.2309 0.0753 0.0700  4 S 1.90-1.94
S28 0.0992 0.0992 0.5000  2 B 1.91
Pb15 0.1447 0.4479 0.4142  4 S 2.80-3.00
S29 0.2376 0.9042 0.0027  2 B 1.92-1.94
S30 0.5667 0.4324 0.6089  2 B 1.92-1.93
Pb16 0.9479 0.3553 0.1642  4 S 2.80-3.00
S31 0.7514 0.5737 0.1096  1 B 1.90
B14 0.4057 0.4303 0.6844  4 S 1.90-1.93
S32 0.5737 0.7514 0.8904  1 B 1.90
S33 0.7624 0.0958 0.5027  2 B 1.92-1.94
B15 0.7691 0.9247 0.5700  4 S 1.90-1.94
S34 0.7486 0.0737 0.1404  1 B 1.90
S35 0.4008 0.5992 0.7500  2 B 1.91
S36 0.5676 0.4333 0.8911  2 B 1.92-1.93
S37 0.9324 0.9333 0.3589  2 B 1.92-1.93
S38 0.9263 0.2514 0.3596  1 B 1.90
B16 0.0943 0.9303 0.5656  4 S 1.90-1.93
S39 0.9042 0.2376 0.9973  2 B 1.92-1.94
S40 0.0958 0.7624 0.4973  2 B 1.92-1.94

N(E_F): 0.000 states/eV/cell
Final energy: -24.416 eV/atom